Entry 1:
Here is an optimized crystal structure of Ce2ReN4 from Alexandria. Energies are from PBE-GGA.

```
Ce2ReN4
1.0
5.3037 0.0000 -1.0927
-0.2251 5.2989 -1.0927
-0.0281 -0.0293 13.2821
Ce Re N
8 4 16
direct
0.9245 0.4245 0.8490
0.1745 0.1745 0.3490
0.3255 0.3255 0.6510
0.0755 0.5755 0.1510
0.6745 0.6745 0.3490
0.4245 0.9245 0.8490
0.5755 0.0755 0.1510
0.8255 0.8255 0.6510
0.2500 0.7500 0.5000
0.5000 0.5000 0.0000
0.0000 0.0000 0.0000
0.7500 0.2500 0.5000
0.5859 0.5859 0.1718
0.3359 0.8359 0.6718
0.6641 0.1641 0.3282
0.9141 0.9141 0.8282
0.1641 0.6641 0.3282
0.4141 0.4141 0.8282
0.0859 0.0859 0.1718
0.8359 0.3359 0.6718
0.5480 0.5480 0.5000
0.7020 0.7980 0.0000
0.2980 0.2020 0.0000
0.9520 0.9520 0.5000
0.7980 0.2980 0.0000
0.4520 0.0480 0.5000
0.0480 0.4520 0.5000
0.2020 0.7020 0.0000
```

Symmetry: No. 142
Fermi-level density of states, states/eV/f.u.: 4.76
V, Å³/atom: 13.319
Energy above the lowest structure with this stoichiometry, meV/atom: 0.0
Magnetic moment, μB per cell: 0.001

---

Entry 2:
Here is an optimized crystal structure of Ce2Re2N5 from Alexandria. Energies are from PBE-GGA.

```
Ce2Re2N5
1.0
5.3937 0.0000 -1.7675
-0.5638 5.2085 -1.7205
-0.1666 -0.0946 8.6050
Ce Re N
4 4 10
direct
0.8810 0.3883 0.7643
0.1190 0.6240 0.2357
0.3833 0.8883 0.7643
0.6167 0.1240 0.2357
0.0000 0.0072 0.0000
0.5000 0.5072 0.0000
0.7726 0.7596 0.5000
0.2274 0.2596 0.5000
0.7737 0.7809 0.0473
0.2263 0.7336 0.9527
0.7736 0.2809 0.0473
0.2264 0.2336 0.9527
0.7741 0.8765 0.7379
0.2259 0.1387 0.2621
0.4638 0.3765 0.7379
0.5362 0.6387 0.2621
0.9821 0.0272 0.5000
0.0179 0.5272 0.5000
```

E_tot, eV/cell: -170.6
Symmetry: No. 46
Fermi-level density of states, states/eV/f.u.: 6.12
V, Å³/atom: 13.291
Magnetic moment, μB per cell: 0.000

---

Entry 3:
Here is an optimized crystal structure of Ce2ReN from Alexandria. Energies are from PBE-GGA.

```
Ce2ReN
1.0
-1.8835 -1.8859 1.8945
1.3562 -2.3291 1.8519
0.6324 3.9166 7.3498
Re Ce N
1 2 1
direct
0.0000 0.0000 0.0000
0.1038 0.1038 0.6888
0.8962 0.8962 0.3112
0.5000 0.5000 0.5000
```

E_tot, eV/cell: -33.2
Symmetry: No. 166
Fermi-level density of states, states/eV/f.u.: 4.32
V, Å³/atom: 18.836
Magnetic moment, μB per cell: 0.000

---

Entry 4:
Here is an optimized crystal structure of CeRe2N6 from Alexandria. Energies are from PBE-GGA.

```
CeRe2N6
1.0
3.7474 0.0000 0.0000
1.8737 5.4507 0.4569
1.8737 2.9279 7.4996
Ce Re N
1 2 6
direct
0.0000 0.5000 0.5000
0.2434 0.6946 0.8187
0.7566 0.3054 0.1813
0.7539 0.5923 0.9000
0.2461 0.4077 0.1000
0.8941 0.9548 0.2569
0.3775 0.6312 0.6139
0.1059 0.0452 0.7431
0.6225 0.3688 0.3861
```

E_tot, eV/cell: -82.7
Symmetry: No. 12
V, Å³/atom: 16.464
Magnetic moment, μB per cell: 0.000

---

Entry 5:
Here is an optimized crystal structure of Ce5Re2N12 from Alexandria. Energies are from PBE-GGA.

```
Ce5Re2N12
1.0
5.8848 0.0000 0.0000
-2.9424 6.3673 -0.0219
0.0000 -2.2666 7.2486
Ce Re N
5 2 12
direct
0.3071 0.6143 0.6451
0.3133 0.6266 0.1689
0.0000 0.0000 0.5000
0.6867 0.3734 0.8311
0.6929 0.3857 0.3549
0.7595 0.0000 0.0000
0.2405 0.0000 0.0000
0.0010 0.0020 0.1801
0.0987 0.6786 0.9207
0.5799 0.6786 0.9207
0.0904 0.6874 0.4224
0.5969 0.6874 0.4224
0.4993 0.9986 0.8164
0.5007 0.0014 0.1836
0.9096 0.3126 0.5776
0.4031 0.3126 0.5776
0.9013 0.3214 0.0793
0.4201 0.3214 0.0793
0.9990 0.9980 0.8199
```

E_tot, eV/cell: -166.8
Symmetry: No. 12
Fermi-level density of states, states/eV/f.u.: 18.23
V, Å³/atom: 14.280
Magnetic moment, μB per cell: 0.005

---

Entry 6:
Here is an optimized crystal structure of CeReN3 from Alexandria. Energies are from PBE-GGA.

```
CeReN3
1.0
-0.6863 1.4882 3.3106
1.5286 -5.4242 2.9428
6.2067 0.2715 1.3505
Ce Re N
2 2 6
direct
0.0393 0.1701 0.6089
0.4454 0.7342 0.1733
0.7427 0.6266 0.7167
0.7420 0.2777 0.0655
0.4955 0.3429 0.7814
0.9892 0.5614 0.0008
0.5026 0.2751 0.3224
0.5021 0.8830 0.7145
0.9826 0.0214 0.0677
0.9821 0.6292 0.4598
```

E_tot, eV/cell: -92.5
Symmetry: No. 12
Fermi-level density of states, states/eV/f.u.: 4.96
V, Å³/atom: 14.252
Magnetic moment, μB per cell: 1.450

---

Which value of magnetic moment does entry 6 give?
1.450 μB per cell

---

V of number 6 (CeReN3)?
14.252 Å³/atom